Entry 1:
Here is IrWSCl2 after structural relaxation from Alexandria via LeMat-Bulk. Energies are from PBE.

Cell lengths 4.6897, 4.6897, 4.8067 Å; angles 90.00, 90.00, 90.00 degrees
Sites, in units of the cell vectors:
Ir: 0.0000 0.0000 0.0000
W: 0.5000 0.5000 0.5000
S: 0.0000 0.0000 0.5000
Cl: 0.0000 0.5000 0.0000
Cl: 0.5000 0.0000 0.0000

## Properties
The calculation puts the uncorrected formation energy at 6.13 eV per formula unit. As for the crystal system: tetragonal.

---

Entry 2:
Here is Sr2Zn3As2O2 after structural relaxation from Alexandria via LeMat-Bulk. Energies are from PBE.

Cell lengths 10.0014, 10.0014, 10.0014 Å; angles 156.15, 156.15, 33.98 degrees
Sites, in units of the cell vectors:
Sr: 0.0850 0.0850 0.0000
Sr: 0.9150 0.9150 0.0000
Zn: 0.2500 0.7500 0.5000
Zn: 0.5000 0.5000 0.0000
Zn: 0.7500 0.2500 0.5000
As: 0.3314 0.3314 0.0000
As: 0.6686 0.6686 0.0000
O: 0.0000 0.5000 0.5000
O: 0.5000 0.0000 0.5000

## Properties
The calculation puts the uncorrected formation energy at -11.67 eV per formula unit. As for the crystal system: tetragonal.

---

Entry 3:
Here is Sc2TaRe after structural relaxation from Alexandria via LeMat-Bulk. Energies are from PBE.

Cell lengths 2.9913, 4.4952, 5.7965 Å; angles 90.00, 102.22, 90.00 degrees
Sites, in units of the cell vectors:
Sc: 0.0000 0.0000 0.0000
Sc: 0.2909 0.5000 0.7179
Ta: 0.6821 0.5000 0.2659
Re: 0.5074 0.0000 0.4714

## Properties
As for the crystal system: monoclinic. As for the energy of formation: 0.024 eV/atom.

---

Entry 4:
Here is Li2ZnCr after structural relaxation from Alexandria via LeMat-Bulk. Energies are from PBE.

Cell lengths 5.7204, 5.7204, 5.7204 Å; angles 102.46, 102.46, 124.65 degrees
Sites, in units of the cell vectors:
Li: 0.1052 0.6250 0.9802
Li: 0.3750 0.3552 0.4802
Li: 0.6448 0.1250 0.0198
Li: 0.8750 0.8948 0.5198
Zn: 0.0000 0.0000 0.0000
Zn: 0.7500 0.2500 0.5000
Cr: 0.2500 0.7500 0.5000
Cr: 0.5000 0.5000 0.0000

## Properties
As for the crystal system: tetragonal. As for the energy of formation: 0.400 eV/atom.

---

| no. | VASP energy (eV per atom) |
| --- | --- |
| 1 | -4.700 |
| 2 | -4.230 |
| 3 | -9.217 |
| 4 | -3.281 |